First-principles (GGA-PBE) data for a geometry-optimized CsCuP2 structure, as listed in the Alexandria database.

Summary:
The value obtained for the calculated formation energy is 0.04 eV per atom. For the energy relative to the lowest polymorph listed for this composition, the calculation gives 0.000 eV per atom.

Lattice parameters (Å, degrees): 5.1395 5.1395 15.7224 90.00 90.00 90.00
Space group I4_1/amd (No. 141, origin choice 2)
One atom of each set of equivalent atoms:
Cs 0.0000 0.2500 0.3750 [4 per cell]
Cu 0.0000 0.2500 0.8750 [4 per cell]
P 0.0000 0.0000 0.0000 [8 per cell]